Record 1
LaPt2Se2, optimized geometry, DFT GGA-PBE; theoretical density = 11.03 g/cm³; SG = No. 139; uncorrected energy = -5.4409 eV/atom
1.0
-2.0412 2.0412 6.2035
2.0412 -2.0412 6.2035
2.0412 2.0412 -6.2035
La Pt Se
1 2 2
Direct
0.0000 0.0000 0.0000
0.2500 0.7500 0.5000
0.7500 0.2500 0.5000
0.3873 0.3873 0.0000
0.6127 0.6127 0.0000

---

Record 2
TaCdP2, optimized geometry, DFT GGA-PBE; theoretical density = 8.12 g/cm³; DFT formation energy = 0.324 eV/atom; SG = No. 35; uncorrected energy = -5.5730 eV/atom
1.0
1.7572 -2.3749 0.0000
1.7572 2.3749 0.0000
0.0000 0.0000 8.7049
Ta Cd P
1 1 2
Direct
0.0000 0.0000 0.0000
0.5000 0.5000 0.2785
0.0000 0.0000 0.5190
0.5000 0.5000 0.8024

---

Record 3
K2TlMo, optimized geometry, DFT GGA-PBE; theoretical density = 4.36 g/cm³; DFT formation energy = 0.939 eV/atom; SG = No. 6; distance to the lowest polymorph of the same formula = 0.178 eV per atom; uncorrected energy = -2.9089 eV/atom
1.0
3.8340 0.0000 0.0000
0.0000 5.2308 0.0000
-1.9088 0.0000 7.1949
K Tl Mo
2 1 1
Direct
0.0000 0.0000 0.0000
0.3267 0.5000 0.6565
0.7066 0.0000 0.4158
0.6227 0.5000 0.2463

---

Record 4
TaAg2Sb, optimized geometry, DFT GGA-PBE; theoretical density = 10.57 g/cm³; SG = No. 6; uncorrected energy = -5.1558 eV/atom
1.0
2.9921 0.0000 0.0000
0.0000 3.5503 0.0000
-1.4848 0.0000 7.6665
Ta Ag Sb
1 2 1
Direct
0.0000 0.0000 0.0000
0.2208 0.0000 0.4436
0.6125 0.5000 0.2263
0.3805 0.5000 0.7583

---

Record 5
ErZrSi2, optimized geometry, DFT GGA-PBE; theoretical density = 6.78 g/cm³; SG = No. 38; distance to the lowest polymorph of the same formula = 0.001 eV per atom; uncorrected energy = -6.8292 eV/atom
1.0
3.7941 0.0000 0.0000
0.0000 1.9922 5.0989
0.0000 -1.9922 5.0989
Er Zr Si
1 1 2
Direct
0.0000 0.0000 0.0000
0.5000 0.7172 0.7172
0.0000 0.2756 0.2756
0.5000 0.4331 0.4331

---

Record 6
Fe2As2Cl, optimized geometry, DFT GGA-PBE; theoretical density = 5.83 g/cm³; SG = No. 139; distance to the lowest polymorph of the same formula = 0.192 eV per atom; uncorrected energy = -5.2988 eV/atom
1.0
-1.9107 1.9107 5.7921
1.9107 -1.9107 5.7921
1.9107 1.9107 -5.7921
Fe As Cl
2 2 1
Direct
0.1313 0.1313 0.0000
0.8687 0.8687 0.0000
0.2500 0.7500 0.5000
0.7500 0.2500 0.5000
0.5000 0.5000 0.0000